DFT (GGA+U) results for a geometry-optimized Tc2WF structure.

```
data_Tc2WF
_cell_length_a 6.166
_cell_length_b 6.166
_cell_length_c 6.166
_cell_angle_alpha 90.00
_cell_angle_beta 90.00
_cell_angle_gamma 90.00
_space_group_name_H-M_alt 'F m -3 m'
_space_group_IT_number 225
_space_group_name_Hall '-F 4 2 3'
loop_
_atom_site_label
_atom_site_type_symbol
_atom_site_fract_x
_atom_site_fract_y
_atom_site_fract_z
Tc1 Tc 0.250 0.250 0.250
W1 W 0.000 0.000 0.000
F1 F 0.000 0.000 0.500
```

Output
Theoretical density   11.30 Mg/m³
DOS(E_F)   17.10 states/eV per cell
E above lowest polymorph   0 kJ/mol of formula units
Raw total energy   -6.925 eV per atom